Record 1
# PBE-GGA NbCuOs, optimized geometry
# E_form in eV/atom: 0.004
# Total magnetic moment in μB/cell: 0.00
# VASP energy in eV per atom: -8.46
# Space group: P2_1/m (11)
data_NbCuOs
_chemical_formula_sum 'Nb2 Cu2 Os2'
_space_group_name_H-M_alt 'P 1'
_space_group_IT_number 1
_space_group_name_Hall 'P 1'
_cell_length_a 4.926
_cell_length_b 4.093
_cell_length_c 9.059
_cell_angle_alpha 116.83
_cell_angle_beta 117.53
_cell_angle_gamma 33.86
loop_
_atom_site_label
_atom_site_type_symbol
_atom_site_fract_x
_atom_site_fract_y
_atom_site_fract_z
Os1 Os 0.396 0.787 0.135
Os2 Os 0.983 0.863 0.298
Nb1 Nb 0.564 0.964 0.479
Nb2 Nb 0.815 0.687 0.954
Cu1 Cu 0.147 0.039 0.637
Cu2 Cu 0.232 0.612 0.796

***

Record 2
# PBE-GGA CsLaSeBr2, optimized geometry
# Total magnetic moment in μB/cell: 0.35
# VASP energy in eV per atom: -2.83
# Space group: P4/mmm (123)
data_CsLaSeBr2
_chemical_formula_sum 'Cs1 La1 Se1 Br2'
_space_group_name_H-M_alt 'P 1'
_space_group_IT_number 1
_space_group_name_Hall 'P 1'
_cell_length_a 6.127
_cell_length_b 6.127
_cell_length_c 6.148
_cell_angle_alpha 90.00
_cell_angle_beta 90.00
_cell_angle_gamma 90.00
loop_
_atom_site_label
_atom_site_type_symbol
_atom_site_fract_x
_atom_site_fract_y
_atom_site_fract_z
Cs1 Cs 0.000 0.000 0.000
Se1 Se 0.000 0.000 0.500
Br1 Br 0.000 0.500 0.000
Br2 Br 0.500 0.000 0.000
La1 La 0.500 0.500 0.500

***

Record 3
# PBE-GGA Tc2GeSe, optimized geometry
# Total magnetic moment in μB/cell: 0.00
# VASP energy in eV per atom: -7.12
# Space group: Fm-3m (225)
data_Tc2GeSe
_chemical_formula_sum 'Tc2 Ge1 Se1'
_space_group_name_H-M_alt 'P 1'
_space_group_IT_number 1
_space_group_name_Hall 'P 1'
_cell_length_a 4.370
_cell_length_b 4.370
_cell_length_c 4.370
_cell_angle_alpha 60.00
_cell_angle_beta 60.00
_cell_angle_gamma 60.00
loop_
_atom_site_label
_atom_site_type_symbol
_atom_site_fract_x
_atom_site_fract_y
_atom_site_fract_z
Ge1 Ge 0.000 0.000 0.000
Tc1 Tc 0.250 0.250 0.250
Tc2 Tc 0.750 0.750 0.750
Se1 Se 0.500 0.500 0.500

***

no.,theoretical density (g cm⁻³),density of states at the Fermi level (states/eV per atom)
1,12.88,0.6483
2,3.67,1.2275
3,9.78,0.7757